Entry 1:
Here is a geometry-optimized CaYRe2 structure from Alexandria via LeMat-Bulk. Energies are from PBE-GGA.

a = 3.1024 Å, b = 3.9935 Å, c = 7.9744 Å
α = 90.00°, β = 95.25°, γ = 90.00°
Space group Pm (No. 6)
Unique sites:
1 Ca 0.0000 0.0000 0.0000 (multiplicity 1)
2 Y 0.3604 0.5000 0.6076 (multiplicity 1)
3 Re 0.4905 0.5000 0.2646 (multiplicity 1)
4 Re 0.8726 0.0000 0.3727 (multiplicity 1)

Results
The volume comes out at 98.4 Å³/cell. The total energy comes out at -7.9568 eV/atom. The density of states at the Fermi level is 4.42 states/eV/f.u. As for the formation energy: 37.02 kJ/mol of atoms. As for the offset from the most stable computed form: 199 meV/atom.

***

Entry 2:
Here is a geometry-optimized Ac3Pr5Nd3 structure from Alexandria via LeMat-Bulk. Energies are from PBE-GGA.

a = 9.8717 Å, b = 9.8717 Å, c = 6.1295 Å
α = 90.00°, β = 90.00°, γ = 120.00°
Space group P-62m (No. 189)
Unique sites:
1 Ac 0.0000 0.4295 0.0000 (multiplicity 3)
2 Pr 0.0000 0.6361 0.5000 (multiplicity 3)
3 Pr 0.3333 0.6667 0.5000 (multiplicity 2)
4 Nd 0.0000 0.2687 0.5000 (multiplicity 3)

Results
The volume comes out at 517.3 Å³/cell. The total energy comes out at -3.9551 eV/atom. The density of states at the Fermi level is 22.47 states/eV/f.u. As for the formation energy: 61.58 kJ/mol of atoms.

***

Entry 3:
Here is a geometry-optimized SiTc2P structure from Alexandria via LeMat-Bulk. Energies are from PBE-GGA.

a = 2.9267 Å, b = 2.9267 Å, c = 22.6082 Å
α = 90.00°, β = 90.00°, γ = 120.00°
Space group R3m (No. 160, hexagonal axes)
Unique sites:
1 Si 0.0000 0.0000 0.0000 (multiplicity 3)
2 Tc 0.0000 0.0000 0.2526 (multiplicity 3)
3 Tc 0.0000 0.0000 0.4911 (multiplicity 3)
4 P 0.0000 0.0000 0.7487 (multiplicity 3)

Results
The volume comes out at 167.7 Å³/cell. The total energy comes out at -8.0339 eV/atom. The density of states at the Fermi level is 2.91 states/eV/f.u. As for the offset from the most stable computed form: 360 meV/atom. The value obtained for the energy relative to the elements, uncorrected is -0.143 eV per atom.

***

Entry 4:
Here is a geometry-optimized TmU5S6 structure from Alexandria via LeMat-Bulk. Energies are from PBE-GGA.

a = 6.7198 Å, b = 11.6054 Å, c = 6.6368 Å
α = 90.00°, β = 109.64°, γ = 90.00°
Space group C2/m (No. 12)
Unique sites:
1 Tm 0.0000 0.0000 0.0000 (multiplicity 2)
2 U 0.0000 0.1684 0.5000 (multiplicity 4)
3 U 0.0000 0.3342 0.0000 (multiplicity 4)
4 U 0.0000 0.5000 0.5000 (multiplicity 2)
5 S 0.2457 0.0000 0.7501 (multiplicity 4)
6 S 0.2465 0.1650 0.2462 (multiplicity 8)

Results
The volume comes out at 487.5 Å³/cell. The total energy comes out at -8.6032 eV/atom. The density of states at the Fermi level is 20.94 states/eV/f.u. The value obtained for the energy relative to the elements, uncorrected is -1.463 eV per atom.

***

Entry 5:
Here is a geometry-optimized Rb3NaCr2Cl9 structure from Alexandria via LeMat-Bulk. Energies are from PBE-GGA.

a = 7.1762 Å, b = 7.1762 Å, c = 8.8790 Å
α = 90.00°, β = 90.00°, γ = 120.00°
Space group P-3m1 (No. 164)
Unique sites:
1 Rb 0.0000 0.0000 0.0000 (multiplicity 1)
2 Rb 0.3333 0.6667 0.6614 (multiplicity 2)
3 Na 0.0000 0.0000 0.5000 (multiplicity 1)
4 Cr 0.3333 0.6667 0.1621 (multiplicity 2)
5 Cl 0.0000 0.5000 0.0000 (multiplicity 3)
6 Cl 0.1759 0.3518 0.3133 (multiplicity 6)

Results
The volume comes out at 396.0 Å³/cell. The total energy comes out at -4.1978 eV/atom. The density of states at the Fermi level is 5.54 states/eV/f.u. The value obtained for the energy relative to the elements, uncorrected is -1.525 eV per atom.

***

Entry 6:
Here is a geometry-optimized CoNiMoPd structure from Alexandria via LeMat-Bulk. Energies are from PBE-GGA.

a = 5.9434 Å, b = 5.9434 Å, c = 5.9434 Å
α = 90.00°, β = 90.00°, γ = 90.00°
Space group F-43m (No. 216)
Unique sites:
1 Co 0.0000 0.0000 0.0000 (multiplicity 4)
2 Ni 0.0000 0.0000 0.5000 (multiplicity 4)
3 Mo 0.2500 0.2500 0.2500 (multiplicity 4)
4 Pd 0.2500 0.2500 0.7500 (multiplicity 4)

Results
The volume comes out at 209.9 Å³/cell. The total energy comes out at -7.1223 eV/atom. The density of states at the Fermi level is 4.44 states/eV/f.u. As for the formation energy: 10.18 kJ/mol of atoms.

***

Entry 7:
Here is a geometry-optimized AgSbPb structure from Alexandria via LeMat-Bulk. Energies are from PBE-GGA.

a = 3.3770 Å, b = 3.3770 Å, c = 13.6278 Å
α = 90.00°, β = 90.00°, γ = 90.00°
Space group I4mm (No. 107)
Unique sites:
1 Ag 0.0000 0.0000 0.0000 (multiplicity 2)
2 Sb 0.0000 0.0000 0.6395 (multiplicity 2)
3 Pb 0.0000 0.0000 0.3447 (multiplicity 2)

Results
The volume comes out at 155.4 Å³/cell. The total energy comes out at -3.4609 eV/atom. The density of states at the Fermi level is 0.86 states/eV/f.u. As for the offset from the most stable computed form: 78 meV/atom. The value obtained for the energy relative to the elements, uncorrected is 0.100 eV per atom.

***

Entry 8:
Here is a geometry-optimized Ac2NdHg structure from Alexandria via LeMat-Bulk. Energies are from PBE-GGA.

a = 8.2970 Å, b = 8.2970 Å, c = 8.2970 Å
α = 90.00°, β = 90.00°, γ = 90.00°
Space group Fm-3m (No. 225)
Unique sites:
1 Ac 0.2500 0.2500 0.2500 (multiplicity 8)
2 Nd 0.0000 0.0000 0.0000 (multiplicity 4)
3 Hg 0.0000 0.0000 0.5000 (multiplicity 4)

Results
The volume comes out at 571.2 Å³/cell. The total energy comes out at -3.3599 eV/atom. The density of states at the Fermi level is 5.37 states/eV/f.u. As for the formation energy: -3.69 kJ/mol of atoms. As for the offset from the most stable computed form: 184 meV/atom.

***

Entry 9:
Here is a geometry-optimized HgTe2Br structure from Alexandria via LeMat-Bulk. Energies are from PBE-GGA.

a = 4.2249 Å, b = 7.2250 Å, c = 8.4416 Å
α = 90.00°, β = 90.00°, γ = 90.00°
Space group Cmmm (No. 65)
Unique sites:
1 Hg 0.0000 0.0000 0.0000 (multiplicity 2)
2 Te 0.0000 0.5000 0.2197 (multiplicity 4)
3 Br 0.0000 0.0000 0.5000 (multiplicity 2)

Results
The volume comes out at 257.7 Å³/cell. The total energy comes out at -1.9561 eV/atom. The density of states at the Fermi level is 3.22 states/eV/f.u. As for the offset from the most stable computed form: 219 meV/atom. The value obtained for the energy relative to the elements, uncorrected is 0.108 eV per atom.

***

Entry 10:
Here is a geometry-optimized Ta2MnCl structure from Alexandria via LeMat-Bulk. Energies are from PBE-GGA.

a = 2.9527 Å, b = 2.9527 Å, c = 7.3604 Å
α = 90.00°, β = 90.00°, γ = 90.00°
Space group P4/mmm (No. 123)
Unique sites:
1 Ta 0.0000 0.0000 0.2134 (multiplicity 2)
2 Mn 0.5000 0.5000 0.0000 (multiplicity 1)
3 Cl 0.5000 0.5000 0.5000 (multiplicity 1)

Results
The volume comes out at 64.2 Å³/cell. The total energy comes out at -8.5884 eV/atom. The density of states at the Fermi level is 3.14 states/eV/f.u. As for the offset from the most stable computed form: 140 meV/atom. The value obtained for the energy relative to the elements, uncorrected is 0.092 eV per atom.

***

Entry 11:
Here is a geometry-optimized RbHgSb2Te structure from Alexandria via LeMat-Bulk. Energies are from PBE-GGA.

a = 5.6510 Å, b = 5.6510 Å, c = 6.0228 Å
α = 90.00°, β = 90.00°, γ = 90.00°
Space group P4/mmm (No. 123)
Unique sites:
1 Rb 0.0000 0.0000 0.0000 (multiplicity 1)
2 Hg 0.5000 0.5000 0.5000 (multiplicity 1)
3 Sb 0.0000 0.5000 0.5000 (multiplicity 2)
4 Te 0.5000 0.5000 0.0000 (multiplicity 1)

Results
The volume comes out at 192.3 Å³/cell. The total energy comes out at -2.3135 eV/atom. The density of states at the Fermi level is 4.40 states/eV/f.u. As for the offset from the most stable computed form: 0 meV/atom. The value obtained for the energy relative to the elements, uncorrected is 0.218 eV per atom.

***

Entry 12:
Here is a geometry-optimized Te2PtIN structure from Alexandria via LeMat-Bulk. Energies are from PBE-GGA.

a = 4.8256 Å, b = 4.8256 Å, c = 4.6607 Å
α = 90.00°, β = 90.00°, γ = 90.00°
Space group P4/mmm (No. 123)
Unique sites:
1 Te 0.0000 0.5000 0.0000 (multiplicity 2)
2 Pt 0.0000 0.0000 0.5000 (multiplicity 1)
3 I 0.5000 0.5000 0.5000 (multiplicity 1)
4 N 0.5000 0.5000 0.0000 (multiplicity 1)

Results
The volume comes out at 108.5 Å³/cell. The total energy comes out at -3.3075 eV/atom. The density of states at the Fermi level is 5.17 states/eV/f.u. As for the offset from the most stable computed form: 596 meV/atom. The value obtained for the energy relative to the elements, uncorrected is 1.132 eV per atom.